DFT (PBE-GGA) results for an optimized crystal structure of NbFePd2.

Output
Calculated volume in Å³ per atom: 15.09
Energy above the lowest structure with this stoichiometry in eV/f.u.: 1.09
Energy in eV for the cell shown: -28.11
Energy relative to the elements in meV per atom: 202
Magnetization in μB/cell: 0.001

```
NbFePd2
1.0
-1.890 -1.508 3.681
0.676 2.068 3.828
-3.270 2.269 1.885
Nb Fe Pd
1 1 2
Cartesian
-2.242 1.415 4.697
0.000 0.000 0.000
-1.121 0.707 2.348
-3.363 2.122 7.045
```